# meta-GGA SCAN Dy2InNi2, PBEsol geometry
data_Dy2InNi2
_chemical_formula_sum 'Dy4 In2 Ni4'
_symmetry_space_group_name_H-M 'P 4/m b m'
_symmetry_Int_Tables_number 127
_symmetry_space_group_name_Hall '-P 4 2ab'
_cell_length_a 7.265
_cell_length_b 7.265
_cell_length_c 3.588
_cell_angle_alpha 90.00
_cell_angle_beta 90.00
_cell_angle_gamma 90.00
loop_
_atom_site_label
_atom_site_type_symbol
_atom_site_fract_x
_atom_site_fract_y
_atom_site_fract_z
_atom_site_occupancy
Dy1 Dy 0.175 0.325 0.000 1
In1 In 0.000 0.000 0.500 1
Ni1 Ni 0.119 0.619 0.500 1
# E_tot   -328.25 eV/cell
# Magnetization   0.0 μB per formula unit
# Calculated formation energy   -0.560 eV/atom
# Calculated volume   18.94 A^3/atom
# Density of states at the Fermi level   5.42 states/eV/cell

***

# meta-GGA SCAN Ba2MgAg2, PBEsol geometry
data_Ba2MgAg2
_chemical_formula_sum 'Ba4 Mg2 Ag4'
_symmetry_space_group_name_H-M 'P 4/m b m'
_symmetry_Int_Tables_number 127
_symmetry_space_group_name_Hall '-P 4 2ab'
_cell_length_a 8.256
_cell_length_b 8.256
_cell_length_c 4.686
_cell_angle_alpha 90.00
_cell_angle_beta 90.00
_cell_angle_gamma 90.00
loop_
_atom_site_label
_atom_site_type_symbol
_atom_site_fract_x
_atom_site_fract_y
_atom_site_fract_z
_atom_site_occupancy
Ba1 Ba 0.177 0.323 0.000 1
Mg1 Mg 0.000 0.000 0.500 1
Ag1 Ag 0.122 0.622 0.500 1
# E_tot   -295.73 eV/cell
# Magnetization   0.0 μB per formula unit
# Calculated formation energy   -0.211 eV/atom
# Calculated volume   31.94 A^3/atom
# Density of states at the Fermi level   6.23 states/eV/cell

***

# meta-GGA SCAN CaMn4O8, PBEsol geometry
data_CaMn4O8
_chemical_formula_sum 'Ca3 Mn12 O24'
_symmetry_space_group_name_H-M 'R -3 m'
_symmetry_Int_Tables_number 166
_symmetry_space_group_name_Hall '-R 3 2"'
_cell_length_a 5.6810
_cell_length_b 5.6810
_cell_length_c 16.6201
_cell_angle_alpha 90.00
_cell_angle_beta 90.00
_cell_angle_gamma 120.00
loop_
_atom_site_label
_atom_site_type_symbol
_atom_site_fract_x
_atom_site_fract_y
_atom_site_fract_z
_atom_site_occupancy
Ca1 Ca 0.0000 0.0000 0.0000 1
Mn1 Mn 0.0000 0.0000 0.5000 1
Mn2 Mn 0.0000 0.5000 0.5000 1
O1 O 0.0000 0.0000 0.2251 1
O2 O 0.0091 0.5045 0.7718 1
# Raw formation energy   -2.331 eV per atom
# E_tot   -488.49 eV/cell
# Magnetization   4.0 μB per formula unit
# Energy relative to the lowest polymorph listed for this composition   0 meV/atom
# Calculated volume   11.91 A^3/atom
# Density of states at the Fermi level   11.19 states/eV/cell

***

# meta-GGA SCAN LiReP2, PBEsol geometry
data_LiReP2
_chemical_formula_sum 'Li4 Re4 P8'
_symmetry_space_group_name_H-M 'F -4 3 m'
_symmetry_Int_Tables_number 216
_symmetry_space_group_name_Hall 'F -4 2 3'
_cell_length_a 5.851
_cell_length_b 5.851
_cell_length_c 5.851
_cell_angle_alpha 90.00
_cell_angle_beta 90.00
_cell_angle_gamma 90.00
loop_
_atom_site_label
_atom_site_type_symbol
_atom_site_fract_x
_atom_site_fract_y
_atom_site_fract_z
_atom_site_occupancy
Li1 Li 0.000 0.000 0.000 1
Re1 Re 0.250 0.250 0.750 1
P1 P 0.000 0.000 0.500 1
P2 P 0.250 0.250 0.250 1
# E_tot   -368.63 eV/cell
# Magnetization   1.0 μB per formula unit
# Calculated formation energy   0.532 eV/atom
# Energy relative to the lowest polymorph listed for this composition   324 meV/atom
# Calculated volume   12.52 A^3/atom
# Density of states at the Fermi level   9.23 states/eV/cell

***

# meta-GGA SCAN HgRh, PBEsol geometry
data_HgRh
_chemical_formula_sum 'Hg4 Rh4'
_symmetry_space_group_name_H-M 'I 41/a m d'
_symmetry_Int_Tables_number 141
_cell_length_a 4.041
_cell_length_b 4.041
_cell_length_c 8.059
_cell_angle_alpha 90.00
_cell_angle_beta 90.00
_cell_angle_gamma 90.00
loop_
_symmetry_equiv_pos_as_xyz
'x,y,z'
'-x,-y,-z'
'-y+1/4,x+3/4,z+1/4'
'y+1/4,-x+3/4,-z+1/4'
'-x+1/2,-y,z+1/2'
'x+1/2,y,-z+1/2'
'y+1/4,-x+1/4,z+3/4'
'-y+1/4,x+1/4,-z+3/4'
'x,-y,-z'
'-x,y,z'
'-y+1/4,-x+1/4,-z+3/4'
'y+1/4,x+1/4,z+3/4'
'-x+1/2,y,-z+1/2'
'x+1/2,-y,z+1/2'
'y+1/4,x+3/4,-z+1/4'
'-y+1/4,-x+3/4,z+1/4'
'x+1/2,y+1/2,z+1/2'
'-x+1/2,-y+1/2,-z+1/2'
'-y+3/4,x+1/4,z+3/4'
'y+3/4,-x+1/4,-z+3/4'
'-x,-y+1/2,z'
'x,y+1/2,-z'
'y+3/4,-x+3/4,z+1/4'
'-y+3/4,x+3/4,-z+1/4'
'x+1/2,-y+1/2,-z+1/2'
'-x+1/2,y+1/2,z+1/2'
'-y+3/4,-x+3/4,-z+1/4'
'y+3/4,x+3/4,z+1/4'
'-x,y+1/2,-z'
'x,-y+1/2,z'
'y+3/4,x+1/4,-z+3/4'
'-y+3/4,-x+1/4,z+3/4'
loop_
_atom_site_label
_atom_site_type_symbol
_atom_site_fract_x
_atom_site_fract_y
_atom_site_fract_z
_atom_site_occupancy
Hg1 Hg 0.000 0.250 0.375 1
Rh1 Rh 0.000 0.250 0.875 1
# E_tot   -405.47 eV/cell
# Magnetization   0.0 μB per formula unit
# Calculated formation energy   0.284 eV/atom
# Calculated volume   16.45 A^3/atom
# Density of states at the Fermi level   9.05 states/eV/cell

***

# meta-GGA SCAN ScNbTeN2, PBEsol geometry
data_ScNbTeN2
_chemical_formula_sum 'Sc1 Nb1 Te1 N2'
_symmetry_space_group_name_H-M 'P 4/m m m'
_symmetry_Int_Tables_number 123
_symmetry_space_group_name_Hall '-P 4 2'
_cell_length_a 4.057
_cell_length_b 4.057
_cell_length_c 5.523
_cell_angle_alpha 90.00
_cell_angle_beta 90.00
_cell_angle_gamma 90.00
loop_
_atom_site_label
_atom_site_type_symbol
_atom_site_fract_x
_atom_site_fract_y
_atom_site_fract_z
_atom_site_occupancy
Sc1 Sc 0.000 0.000 0.000 1
Nb1 Nb 0.500 0.500 0.500 1
Te1 Te 0.500 0.500 0.000 1
N1 N 0.000 0.500 0.500 1
# Raw formation energy   -0.136 eV per atom
# E_tot   -103.88 eV/cell
# Magnetization   0.0 μB per formula unit
# Calculated volume   18.18 A^3/atom
# Density of states at the Fermi level   2.53 states/eV/cell

***

# meta-GGA SCAN LaTiCoTe2, PBEsol geometry
data_LaTiCoTe2
_chemical_formula_sum 'La1 Ti1 Co1 Te2'
_symmetry_space_group_name_H-M 'P 4/m m m'
_symmetry_Int_Tables_number 123
_symmetry_space_group_name_Hall '-P 4 2'
_cell_length_a 5.200
_cell_length_b 5.200
_cell_length_c 4.290
_cell_angle_alpha 90.00
_cell_angle_beta 90.00
_cell_angle_gamma 90.00
loop_
_atom_site_label
_atom_site_type_symbol
_atom_site_fract_x
_atom_site_fract_y
_atom_site_fract_z
_atom_site_occupancy
La1 La 0.000 0.000 0.000 1
Ti1 Ti 0.500 0.500 0.000 1
Co1 Co 0.500 0.500 0.500 1
Te1 Te 0.000 0.500 0.500 1
# Raw formation energy   -0.405 eV per atom
# E_tot   -152.97 eV/cell
# Magnetization   1.9 μB per formula unit
# Calculated volume   23.20 A^3/atom
# Density of states at the Fermi level   2.78 states/eV/cell

***

# meta-GGA SCAN TlGe3P, PBEsol geometry
data_TlGe3P
_chemical_formula_sum 'Tl1 Ge3 P1'
_symmetry_space_group_name_H-M 'P m -3 m'
_symmetry_Int_Tables_number 221
_symmetry_space_group_name_Hall '-P 4 2 3'
_cell_length_a 4.789
_cell_length_b 4.789
_cell_length_c 4.789
_cell_angle_alpha 90.00
_cell_angle_beta 90.00
_cell_angle_gamma 90.00
loop_
_atom_site_label
_atom_site_type_symbol
_atom_site_fract_x
_atom_site_fract_y
_atom_site_fract_z
_atom_site_occupancy
Tl1 Tl 0.000 0.000 0.000 1
Ge1 Ge 0.000 0.500 0.500 1
P1 P 0.500 0.500 0.500 1
# E_tot   -136.90 eV/cell
# Magnetization   0.0 μB per formula unit
# Calculated formation energy   0.625 eV/atom
# Calculated volume   21.97 A^3/atom
# Density of states at the Fermi level   2.33 states/eV/cell

***

# meta-GGA SCAN ScTcSe2, PBEsol geometry
data_ScTcSe2
_chemical_formula_sum 'Sc1 Tc1 Se2'
_symmetry_space_group_name_H-M 'P 4/m m m'
_symmetry_Int_Tables_number 123
_symmetry_space_group_name_Hall '-P 4 2'
_cell_length_a 4.497
_cell_length_b 4.497
_cell_length_c 3.173
_cell_angle_alpha 90.00
_cell_angle_beta 90.00
_cell_angle_gamma 90.00
loop_
_atom_site_label
_atom_site_type_symbol
_atom_site_fract_x
_atom_site_fract_y
_atom_site_fract_z
_atom_site_occupancy
Sc1 Sc 0.000 0.000 0.000 1
Tc1 Tc 0.500 0.500 0.000 1
Se1 Se 0.000 0.500 0.500 1
# Raw formation energy   -0.611 eV per atom
# E_tot   -91.90 eV/cell
# Magnetization   0.0 μB per formula unit
# Energy relative to the lowest polymorph listed for this composition   0 meV/atom
# Calculated volume   16.04 A^3/atom
# Density of states at the Fermi level   2.78 states/eV/cell

***

# meta-GGA SCAN NiMoRh2Br, PBEsol geometry
data_NiMoRh2Br
_chemical_formula_sum 'Ni1 Mo1 Rh2 Br1'
_symmetry_space_group_name_H-M 'P 4/m m m'
_symmetry_Int_Tables_number 123
_symmetry_space_group_name_Hall '-P 4 2'
_cell_length_a 4.496
_cell_length_b 4.496
_cell_length_c 4.309
_cell_angle_alpha 90.00
_cell_angle_beta 90.00
_cell_angle_gamma 90.00
loop_
_atom_site_label
_atom_site_type_symbol
_atom_site_fract_x
_atom_site_fract_y
_atom_site_fract_z
_atom_site_occupancy
Ni1 Ni 0.000 0.000 0.000 1
Mo1 Mo 0.500 0.500 0.500 1
Rh1 Rh 0.000 0.500 0.000 1
Br1 Br 0.000 0.000 0.500 1
# Raw formation energy   1.460 eV per atom
# E_tot   -130.76 eV/cell
# Magnetization   2.3 μB per formula unit
# Energy relative to the lowest polymorph listed for this composition   93 meV/atom
# Calculated volume   17.42 A^3/atom
# Density of states at the Fermi level   7.14 states/eV/cell

***

# meta-GGA SCAN Mn2MoRh2, PBEsol geometry
data_Mn2MoRh2
_chemical_formula_sum 'Mn4 Mo2 Rh4'
_symmetry_space_group_name_H-M 'I 4/m m m'
_symmetry_Int_Tables_number 139
_symmetry_space_group_name_Hall '-I 4 2'
_cell_length_a 3.159
_cell_length_b 3.159
_cell_length_c 13.424
_cell_angle_alpha 90.00
_cell_angle_beta 90.00
_cell_angle_gamma 90.00
loop_
_atom_site_label
_atom_site_type_symbol
_atom_site_fract_x
_atom_site_fract_y
_atom_site_fract_z
_atom_site_occupancy
Mn1 Mn 0.000 0.500 0.250 1
Mo1 Mo 0.000 0.000 0.000 1
Rh1 Rh 0.000 0.000 0.398 1
# E_tot   -273.62 eV/cell
# Magnetization   0.0 μB per formula unit
# Calculated formation energy   0.426 eV/atom
# Calculated volume   13.39 A^3/atom
# Density of states at the Fermi level   9.68 states/eV/cell

***

# meta-GGA SCAN HfSc2Ge2, PBEsol geometry
data_HfSc2Ge2
_chemical_formula_sum 'Hf2 Sc4 Ge4'
_symmetry_space_group_name_H-M 'P 4/m b m'
_symmetry_Int_Tables_number 127
_symmetry_space_group_name_Hall '-P 4 2ab'
_cell_length_a 7.106
_cell_length_b 7.106
_cell_length_c 3.762
_cell_angle_alpha 90.00
_cell_angle_beta 90.00
_cell_angle_gamma 90.00
loop_
_atom_site_label
_atom_site_type_symbol
_atom_site_fract_x
_atom_site_fract_y
_atom_site_fract_z
_atom_site_occupancy
Hf1 Hf 0.000 0.000 0.000 1
Sc1 Sc 0.170 0.330 0.500 1
Ge1 Ge 0.134 0.634 0.000 1
# E_tot   -266.33 eV/cell
# Magnetization   0.0 μB per formula unit
# Calculated formation energy   -0.768 eV/atom
# Calculated volume   19.00 A^3/atom
# Density of states at the Fermi level   9.11 states/eV/cell

***

> Look up the density of states at the Fermi level of the third one.

11.19 states/eV/cell

***

> What is the calculated volume in the second record?

31.94 A^3/atom